Entry from Alexandria: a relaxed SrTeAu2 crystal (PBE).

Unit cell a=4.107 b=4.107 c=6.696 alpha=90.00 beta=90.00 gamma=90.00
Fractional coordinates of all 4 atoms:
Au (0.500, 0.500, 0.146)
Au (0.000, 0.000, 0.092)
Te (0.500, 0.500, 0.726)
Sr (0.000, 0.000, 0.535)

Calculated values
Uncorrected formation energy ... -0.458 eV/atom
Magnetic moment ... 0.000 Bohr magnetons per cell
Symmetry ... P4mm (99)